## Tb2Y8Ho (PBE)

Data for a geometry-optimized Tb2Y8Ho structure.

Results
- ΔH_f (0 K): 0.0231 eV per atom

a = 6.168 Å, b = 6.173 Å, c = 9.442 Å
α = 89.92°, β = 83.71°, γ = 80.31°
Fractional coordinates of all 11 atoms:
Tb  0.182  0.138  0.272
Tb  0.818  0.862  0.728
Y  0.090  0.318  0.637
Y  0.272  0.955  0.909
Y  0.363  0.774  0.546
Y  0.454  0.591  0.181
Y  0.546  0.409  0.819
Y  0.637  0.226  0.454
Y  0.728  0.045  0.091
Y  0.910  0.682  0.363
Ho  0.000  0.500  0.000